DFT (GGA-PBE) results for a relaxed structure of La2Nd12Er.

Cell and atoms, written as CIF:
```
data_La2Nd12Er
_symmetry_space_group_name_H-M 'P 1'
_symmetry_Int_Tables_number 1
_symmetry_space_group_name_Hall 'P 1'
_cell_length_a 6.6479
_cell_length_b 6.6479
_cell_length_c 25.5666
_cell_angle_alpha 90.00
_cell_angle_beta 90.00
_cell_angle_gamma 90.00
loop_
_atom_site_label
_atom_site_fract_x
_atom_site_fract_y
_atom_site_fract_z
_atom_site_occupancy
La1 0.2500 0.7500 0.2353 1
La2 0.2500 0.7500 0.7647 1
La3 0.7500 0.2500 0.2353 1
La4 0.7500 0.2500 0.7647 1
Nd1 0.0620 0.5620 0.3881 1
Nd2 0.0620 0.9380 0.6119 1
Nd3 0.0823 0.5823 0.9380 1
Nd4 0.0823 0.9177 0.0620 1
Nd5 0.2500 0.2500 0.1624 1
Nd6 0.2500 0.2500 0.2864 1
Nd7 0.2500 0.2500 0.7136 1
Nd8 0.2500 0.2500 0.8376 1
Nd9 0.4177 0.5823 0.0620 1
Nd10 0.4177 0.9177 0.9380 1
Nd11 0.4380 0.5620 0.6119 1
Nd12 0.4380 0.9380 0.3881 1
Nd13 0.5620 0.0620 0.6119 1
Nd14 0.5620 0.4380 0.3881 1
Nd15 0.5823 0.0823 0.0620 1
Nd16 0.5823 0.4177 0.9380 1
Nd17 0.7500 0.7500 0.1624 1
Nd18 0.7500 0.7500 0.2864 1
Nd19 0.7500 0.7500 0.7136 1
Nd20 0.7500 0.7500 0.8376 1
Nd21 0.9177 0.0823 0.9380 1
Nd22 0.9177 0.4177 0.0620 1
Nd23 0.9380 0.0620 0.3881 1
Nd24 0.9380 0.4380 0.6119 1
Er1 0.2500 0.7500 0.5000 1
Er2 0.7500 0.2500 0.5000 1
```

## Properties
Spin magnetization in Bohr magnetons per cell: 0.00
Uncorrected energy in eV per atom: -4.4750

***

DFT (GGA-PBE) results for a relaxed structure of La12Nd6Er.

Cell and atoms, written as CIF:
```
data_La12Nd6Er
_symmetry_space_group_name_H-M 'P 1'
_symmetry_Int_Tables_number 1
_symmetry_space_group_name_Hall 'P 1'
_cell_length_a 9.5256
_cell_length_b 9.5256
_cell_length_c 9.5256
_cell_angle_alpha 108.46
_cell_angle_beta 108.46
_cell_angle_gamma 108.46
loop_
_atom_site_label
_atom_site_fract_x
_atom_site_fract_y
_atom_site_fract_z
_atom_site_occupancy
La1 0.0000 0.2831 0.7169 1
La2 0.0000 0.7169 0.2831 1
La3 0.1111 0.1111 0.3505 1
La4 0.1111 0.3505 0.1111 1
La5 0.2831 0.0000 0.7169 1
La6 0.2831 0.7169 0.0000 1
La7 0.3505 0.1111 0.1111 1
La8 0.6495 0.8889 0.8889 1
La9 0.7169 0.0000 0.2831 1
La10 0.7169 0.2831 0.0000 1
La11 0.8889 0.6495 0.8889 1
La12 0.8889 0.8889 0.6495 1
Nd1 0.1957 0.5683 0.5683 1
Nd2 0.4317 0.4317 0.8043 1
Nd3 0.4317 0.8043 0.4317 1
Nd4 0.5683 0.1957 0.5683 1
Nd5 0.5683 0.5683 0.1957 1
Nd6 0.8043 0.4317 0.4317 1
Er1 0.5000 0.5000 0.5000 1
```

## Properties
Spin magnetization in Bohr magnetons per cell: 0.00
Uncorrected energy in eV per atom: -4.6994

***

DFT (GGA-PBE) results for a relaxed structure of La2Nd2Er3.

Cell and atoms, written as CIF:
```
data_La2Nd2Er3
_symmetry_space_group_name_H-M 'P 1'
_symmetry_Int_Tables_number 1
_symmetry_space_group_name_Hall 'P 1'
_cell_length_a 5.6654
_cell_length_b 5.6654
_cell_length_c 9.2607
_cell_angle_alpha 113.29
_cell_angle_beta 113.29
_cell_angle_gamma 64.43
loop_
_atom_site_label
_atom_site_fract_x
_atom_site_fract_y
_atom_site_fract_z
_atom_site_occupancy
La1 0.0768 0.0768 0.2133 1
La2 0.9232 0.9232 0.7867 1
Nd1 0.2137 0.2137 0.6427 1
Nd2 0.7863 0.7863 0.3573 1
Er1 0.3585 0.3585 0.0682 1
Er2 0.5000 0.5000 0.5000 1
Er3 0.6415 0.6415 0.9318 1
```

## Properties
Spin magnetization in Bohr magnetons per cell: 0.00
Uncorrected energy in eV per atom: -4.6016
Distance to the lowest polymorph of the same formula in meV/atom: 0

***

DFT (GGA-PBE) results for a relaxed structure of La6NdEr2.

Cell and atoms, written as CIF:
```
data_La6NdEr2
_symmetry_space_group_name_H-M 'P 1'
_symmetry_Int_Tables_number 1
_symmetry_space_group_name_Hall 'P 1'
_cell_length_a 3.6655
_cell_length_b 3.6655
_cell_length_c 27.6576
_cell_angle_alpha 90.00
_cell_angle_beta 90.00
_cell_angle_gamma 120.00
loop_
_atom_site_label
_atom_site_fract_x
_atom_site_fract_y
_atom_site_fract_z
_atom_site_occupancy
La1 0.0000 0.0000 0.0667 1
La2 0.0000 0.0000 0.2751 1
La3 0.0000 0.0000 0.7249 1
La4 0.0000 0.0000 0.9333 1
La5 0.3333 0.6667 0.3894 1
La6 0.3333 0.6667 0.6106 1
Nd1 0.0000 0.0000 0.5000 1
Er1 0.3333 0.6667 0.1695 1
Er2 0.3333 0.6667 0.8305 1
```

## Properties
Spin magnetization in Bohr magnetons per cell: 0.00
Uncorrected energy in eV per atom: -4.7739
Distance to the lowest polymorph of the same formula in meV/atom: 0

***

DFT (GGA-PBE) results for a relaxed structure of La4NdEr5.

Cell and atoms, written as CIF:
```
data_La4NdEr5
_symmetry_space_group_name_H-M 'P 1'
_symmetry_Int_Tables_number 1
_symmetry_space_group_name_Hall 'P 1'
_cell_length_a 6.5072
_cell_length_b 6.5072
_cell_length_c 10.4571
_cell_angle_alpha 90.52
_cell_angle_beta 90.52
_cell_angle_gamma 51.16
loop_
_atom_site_label
_atom_site_fract_x
_atom_site_fract_y
_atom_site_fract_z
_atom_site_occupancy
La1 0.0554 0.0554 0.2564 1
La2 0.3298 0.3298 0.2492 1
La3 0.6702 0.6702 0.7508 1
La4 0.9446 0.9446 0.7436 1
Nd1 0.5000 0.5000 0.0000 1
Er1 0.1941 0.1941 0.9355 1
Er2 0.2011 0.2011 0.5692 1
Er3 0.5000 0.5000 0.5000 1
Er4 0.7989 0.7989 0.4308 1
Er5 0.8059 0.8059 0.0645 1
```

## Properties
Spin magnetization in Bohr magnetons per cell: 0.00
Uncorrected energy in eV per atom: -4.5605
Distance to the lowest polymorph of the same formula in meV/atom: 0

***

DFT (GGA-PBE) results for a relaxed structure of La2Nd6Er.

Cell and atoms, written as CIF:
```
data_La2Nd6Er
_symmetry_space_group_name_H-M 'P 1'
_symmetry_Int_Tables_number 1
_symmetry_space_group_name_Hall 'P 1'
_cell_length_a 11.0092
_cell_length_b 11.0092
_cell_length_c 5.2215
_cell_angle_alpha 90.00
_cell_angle_beta 90.00
_cell_angle_gamma 90.00
loop_
_atom_site_label
_atom_site_fract_x
_atom_site_fract_y
_atom_site_fract_z
_atom_site_occupancy
La1 0.1648 0.1648 0.0000 1
La2 0.3352 0.6648 0.5000 1
La3 0.6648 0.3352 0.5000 1
La4 0.8352 0.8352 0.0000 1
Nd1 0.0000 0.3326 0.5000 1
Nd2 0.0000 0.6674 0.5000 1
Nd3 0.1674 0.5000 0.0000 1
Nd4 0.1672 0.8328 0.0000 1
Nd5 0.3326 0.0000 0.5000 1
Nd6 0.3328 0.3328 0.5000 1
Nd7 0.5000 0.1674 0.0000 1
Nd8 0.5000 0.8326 0.0000 1
Nd9 0.6674 0.0000 0.5000 1
Nd10 0.6672 0.6672 0.5000 1
Nd11 0.8328 0.1672 0.0000 1
Nd12 0.8326 0.5000 0.0000 1
Er1 0.0000 0.0000 0.5000 1
Er2 0.5000 0.5000 0.0000 1
```

## Properties
Spin magnetization in Bohr magnetons per cell: 0.00
Uncorrected energy in eV per atom: -4.7633
Distance to the lowest polymorph of the same formula in meV/atom: 0

***

DFT (GGA-PBE) results for a relaxed structure of LaNd7Er4.

Cell and atoms, written as CIF:
```
data_LaNd7Er4
_symmetry_space_group_name_H-M 'P 1'
_symmetry_Int_Tables_number 1
_symmetry_space_group_name_Hall 'P 1'
_cell_length_a 6.3424
_cell_length_b 7.3181
_cell_length_c 9.0142
_cell_angle_alpha 90.02
_cell_angle_beta 103.59
_cell_angle_gamma 90.03
loop_
_atom_site_label
_atom_site_fract_x
_atom_site_fract_y
_atom_site_fract_z
_atom_site_occupancy
La1 0.0000 0.0000 0.0000 1
Nd1 0.0000 0.5000 0.0000 1
Nd2 0.2233 0.9998 0.6647 1
Nd3 0.2810 0.2522 0.3368 1
Nd4 0.4998 0.2545 0.9974 1
Nd5 0.5002 0.7455 0.0026 1
Nd6 0.7190 0.7478 0.6632 1
Nd7 0.7767 0.0002 0.3353 1
Er1 0.2179 0.4999 0.6637 1
Er2 0.2777 0.7441 0.3351 1
Er3 0.7223 0.2559 0.6649 1
Er4 0.7821 0.5001 0.3363 1
```

## Properties
Spin magnetization in Bohr magnetons per cell: 0.00
Uncorrected energy in eV per atom: -4.7102
Distance to the lowest polymorph of the same formula in meV/atom: 0

***

DFT (GGA-PBE) results for a relaxed structure of La6NdEr8.

Cell and atoms, written as CIF:
```
data_La6NdEr8
_symmetry_space_group_name_H-M 'P 1'
_symmetry_Int_Tables_number 1
_symmetry_space_group_name_Hall 'P 1'
_cell_length_a 8.8248
_cell_length_b 8.8248
_cell_length_c 8.8248
_cell_angle_alpha 61.90
_cell_angle_beta 61.90
_cell_angle_gamma 61.90
loop_
_atom_site_label
_atom_site_fract_x
_atom_site_fract_y
_atom_site_fract_z
_atom_site_occupancy
La1 0.0335 0.7336 0.5922 1
La2 0.2664 0.4078 0.9665 1
La3 0.4078 0.9665 0.2664 1
La4 0.5922 0.0335 0.7336 1
La5 0.7336 0.5922 0.0335 1
La6 0.9665 0.2664 0.4078 1
Nd1 0.5000 0.5000 0.5000 1
Er1 0.0765 0.0765 0.0765 1
Er2 0.2026 0.2648 0.6143 1
Er3 0.2648 0.6143 0.2026 1
Er4 0.3857 0.7974 0.7352 1
Er5 0.6143 0.2026 0.2648 1
Er6 0.7352 0.3857 0.7974 1
Er7 0.7974 0.7352 0.3857 1
Er8 0.9235 0.9235 0.9235 1
```

## Properties
Spin magnetization in Bohr magnetons per cell: 0.00
Uncorrected energy in eV per atom: -4.6038